Below is a relaxed La4IrPb crystal, with properties calculated at the GGA-PBE level.

Values from the calculation:
Formation enthalpy at 0 K = 0.37 eV per atom

abc: 6.290 6.290 6.290
angles: 60.00 60.00 60.00
Fractional positions:
1 La 0.376 0.376 0.376
2 La 0.376 0.376 0.873
3 La 0.376 0.873 0.376
4 La 0.873 0.376 0.376
5 Ir 0.750 0.750 0.750
6 Pb 0.000 0.000 0.000

---

Below is a relaxed K9SeI3O2 crystal, with properties calculated at the GGA-PBE level.

Values from the calculation:
Formation energy without anion corrections = -1.218 eV/atom

abc: 7.883 7.883 10.085
angles: 90.00 90.00 120.00
Fractional positions:
1 K 0.000 0.500 0.000
2 K 0.177 0.354 0.302
3 K 0.177 0.823 0.302
4 K 0.354 0.177 0.698
5 K 0.500 0.000 0.000
6 K 0.500 0.500 0.000
7 K 0.646 0.823 0.302
8 K 0.823 0.177 0.698
9 K 0.823 0.646 0.698
10 Se 0.000 0.000 0.500
11 I 0.000 0.000 0.000
12 I 0.333 0.667 0.700
13 I 0.667 0.333 0.300
14 O 0.333 0.667 0.152
15 O 0.667 0.333 0.848

---

no.,size of the total moment (μB per cell)
1,0.0
2,0.1